# CaNdInBi

A relaxed structure of CaNdInBi (PBE, the Alexandria database).

## Properties
magnetic moment = 0.00 μB/f.u.
calculated volume = 122.0 Å³/cell
crystal system = cubic
total energy = -3.8575 eV/atom
formation energy from the elements = -49.23 kJ per mole of atoms

Lattice parameters (Å, degrees): 5.5676 5.5676 5.5676 60.00 60.00 60.00
Positions (direct):
Nd 0.0000 0.0000 0.0000
Ca 0.5000 0.5000 0.5000
Bi 0.7500 0.7500 0.7500
In 0.2500 0.2500 0.2500

# Gd2ErPb

A relaxed structure of Gd2ErPb (PBE, the Alexandria database).

## Properties
magnetic moment = 15.34 μB/f.u.
calculated volume = 118.0 Å³/cell
crystal system = cubic
total energy = -9.2595 eV/atom
formation energy from the elements = -14.59 kJ per mole of atoms

Lattice parameters (Å, degrees): 5.5050 5.5050 5.5050 60.00 60.00 60.00
Positions (direct):
Er 0.0000 0.0000 0.0000
Pb 0.5000 0.5000 0.5000
Gd 0.7500 0.7500 0.7500
Gd 0.2500 0.2500 0.2500

# YRe2Tc

A relaxed structure of YRe2Tc (PBE, the Alexandria database).

## Properties
magnetic moment = 0.21 μB/f.u.
calculated volume = 68.2 Å³/cell
crystal system = trigonal
total energy = -9.9731 eV/atom
formation energy from the elements = 44.24 kJ per mole of atoms

Lattice parameters (Å, degrees): 9.9162 9.9162 9.9162 16.45 16.45 16.45
Positions (direct):
Re 0.9909 0.9909 0.9909
Re 0.5091 0.5091 0.5091
Tc 0.2500 0.2500 0.2500
Y 0.7500 0.7500 0.7500

# Rb2TlAgI5

A relaxed structure of Rb2TlAgI5 (PBE, the Alexandria database).

## Properties
magnetic moment = 0.00 μB/f.u.
calculated volume = 794.4 Å³/cell
crystal system = orthorhombic
total energy = -2.4867 eV/atom

Lattice parameters (Å, degrees): 4.8695 10.8864 15.3754 90.00 90.00 102.92
Positions (direct):
Rb 0.8881 0.7762 0.1946
Rb 0.1274 0.2548 0.3299
Rb 0.1119 0.2238 0.6946
Rb 0.8726 0.7452 0.8299
Ag 0.5564 0.1128 0.9226
Ag 0.4436 0.8872 0.4226
I 0.6929 0.3859 0.8767
I 0.6445 0.2890 0.5136
I 0.9509 0.9018 0.5200
I 0.3071 0.6141 0.3767
I 0.0491 0.0982 0.0200
I 0.7118 0.4235 0.1739
I 0.5075 0.0149 0.2637
I 0.4925 0.9851 0.7637
I 0.3555 0.7110 0.0136
I 0.2882 0.5765 0.6739
Tl 0.2057 0.4114 0.0289
Tl 0.7943 0.5886 0.5289